La3Tl5S12 | PBE | optimized geometry

Cell: 14.093 14.093 14.093 Å, 109.47 109.47 109.47°
Element x y z (fractional)
Tl  0.500  0.000  0.500
S  0.414  0.283  0.327
S  0.717  0.586  0.173
S  0.956  0.369  0.283
S  0.173  0.087  0.956
Tl  0.750  0.625  0.375
S  0.586  0.717  0.673
S  0.414  0.131  0.587
S  0.283  0.414  0.827
La  0.125  0.250  0.875
S  0.413  0.044  0.327
La  0.625  0.375  0.750
Tl  0.500  0.000  0.000
Tl  0.625  0.750  0.875
S  0.783  0.327  0.914
Tl  0.625  0.875  0.250
S  0.544  0.327  0.913
S  0.827  0.913  0.044
S  0.173  0.086  0.717
La  0.750  0.375  0.125
S  0.914  0.827  0.783
Tl  0.500  0.500  0.500
La  0.250  0.125  0.375
Tl  0.875  0.625  0.750
S  0.586  0.869  0.413
Tl  0.875  0.250  0.625
La  0.875  0.125  0.250
S  0.087  0.173  0.456
Tl  0.250  0.875  0.125
S  0.631  0.587  0.914
S  0.327  0.544  0.413
S  0.217  0.544  0.631
La  0.125  0.875  0.750
La  0.375  0.625  0.250
Tl  0.500  0.500  0.000
S  0.283  0.869  0.956
S  0.217  0.673  0.086
La  0.750  0.875  0.625
Tl  0.000  0.000  0.500
S  0.369  0.413  0.086
S  0.914  0.087  0.631
S  0.413  0.369  0.586
S  0.673  0.217  0.586
S  0.587  0.956  0.673
S  0.717  0.131  0.044
Tl  0.750  0.125  0.875
S  0.456  0.673  0.087
Tl  0.000  0.000  0.000
Tl  0.125  0.750  0.375
S  0.783  0.456  0.369
Tl  0.250  0.375  0.625
S  0.869  0.586  0.913
S  0.369  0.956  0.783
Tl  0.375  0.250  0.125
S  0.087  0.914  0.131
S  0.631  0.044  0.217
S  0.913  0.827  0.544
S  0.456  0.783  0.869
S  0.044  0.631  0.717
Tl  0.000  0.500  0.500
S  0.544  0.217  0.131
La  0.375  0.750  0.625
S  0.827  0.914  0.283
Tl  0.000  0.500  0.000
La  0.250  0.625  0.875
S  0.673  0.456  0.587
Tl  0.375  0.125  0.750
S  0.869  0.283  0.456
La  0.625  0.250  0.375
La  0.875  0.750  0.125
S  0.327  0.783  0.414
S  0.131  0.414  0.087
S  0.956  0.587  0.173
S  0.044  0.413  0.827
S  0.131  0.717  0.544
S  0.086  0.173  0.217
S  0.086  0.913  0.369
Tl  0.125  0.375  0.250
S  0.913  0.086  0.869
S  0.587  0.631  0.414

Properties
Theoretical density in Mg/m³: 5.6
Formation energy from raw total energies in eV/atom: -0.84

***

UCoNi | PBE | optimized geometry

Cell: 4.937 4.937 4.937 Å, 121.66 118.45 89.93°
Element x y z (fractional)
U  0.118  0.868  0.250
Ni  0.500  0.500  0.500
Co  0.500  0.500  0.000
U  0.882  0.132  0.750
Ni  0.500  0.000  0.000
Co  0.000  0.500  0.500

Properties
Excess energy over the best structure of this formula in the dataset in eV/f.u.: 0.000
Theoretical density in Mg/m³: 13.9

***

NdBeC | PBE | optimized geometry

Cell: 3.345 5.365 10.306 Å, 90.00 90.00 90.00°
Element x y z (fractional)
Nd  0.750  0.395  0.857
Be  0.750  0.580  0.435
Be  0.250  0.920  0.935
C  0.250  0.218  0.023
Nd  0.250  0.605  0.143
C  0.250  0.718  0.477
C  0.750  0.282  0.523
Nd  0.750  0.895  0.643
Nd  0.250  0.105  0.357
C  0.750  0.782  0.977
Be  0.250  0.420  0.565
Be  0.750  0.080  0.065

Properties
Excess energy over the best structure of this formula in the dataset in eV/f.u.: 0.229
Theoretical density in Mg/m³: 5.9

***

MnSnRuI2 | PBE | optimized geometry

Cell: 5.482 4.833 5.482 Å, 90.00 90.00 90.00°
Element x y z (fractional)
Ru  0.000  0.000  0.000
I  0.500  0.000  0.000
I  0.000  0.000  0.500
Sn  0.500  0.500  0.500
Mn  0.000  0.500  0.000

Properties
Theoretical density in Mg/m³: 6.0
Formation energy from raw total energies in eV/atom: 0.69

***

Tb5DyTmSc2 | PBE | optimized geometry

Cell: 5.585 11.048 9.324 Å, 90.00 90.00 104.64°
Element x y z (fractional)
Tb  0.392  0.784  0.048
Tb  0.694  0.388  0.218
Tm  0.599  0.197  0.921
Tb  0.608  0.216  0.548
Sc  0.113  0.227  0.325
Tb  0.988  0.976  0.510
Tb  0.306  0.612  0.718
Sc  0.887  0.773  0.825
Dy  0.184  0.368  0.017
Tb  0.735  0.469  0.832
Tm  0.401  0.803  0.421
Tb  0.012  0.024  0.010
Dy  0.816  0.632  0.517
Sc  0.866  0.733  0.203
Tb  0.265  0.531  0.332
Sc  0.134  0.267  0.703
Tb  0.532  0.063  0.249
Tb  0.468  0.937  0.749

Properties
E in eV for the cell shown: -86.8
Theoretical density in Mg/m³: 7.3

***

Ga2Ag5Au2 | PBE | optimized geometry

Cell: 4.158 4.791 9.358 Å, 96.74 89.82 116.24°
Element x y z (fractional)
Ag  0.000  0.000  0.000
Ga  0.882  0.768  0.706
Ag  0.708  0.414  0.104
Ag  0.292  0.586  0.896
Au  0.579  0.164  0.773
Ga  0.118  0.232  0.294
Au  0.421  0.836  0.227
Ag  0.828  0.653  0.421
Ag  0.172  0.347  0.579

Properties
Excess energy over the best structure of this formula in the dataset in eV/f.u.: 0.000
Theoretical density in Mg/m³: 10.7

***

ThAs2Rh5Au | PBE | optimized geometry

Cell: 4.211 4.211 8.913 Å, 90.00 90.00 90.00°
Element x y z (fractional)
Rh  0.500  0.000  0.262
Rh  0.500  0.500  0.500
Au  0.000  0.000  0.000
Rh  0.500  0.000  0.738
Rh  0.000  0.500  0.262
Rh  0.000  0.500  0.738
As  0.500  0.500  0.138
As  0.500  0.500  0.862
Th  0.000  0.000  0.500

Properties
E in eV for the cell shown: -60.9
Theoretical density in Mg/m³: 11.5

***

TlInH3 | PBE | optimized geometry

Cell: 4.181 4.181 4.181 Å, 90.00 90.00 90.00°
Element x y z (fractional)
H  0.000  0.500  0.000
H  0.500  0.000  0.000
Tl  0.500  0.500  0.500
H  0.000  0.000  0.500
In  0.000  0.000  0.000

Properties
Excess energy over the best structure of this formula in the dataset in eV/f.u.: 0.000
Theoretical density in Mg/m³: 7.3

***

The lowest theoretical density belongs to which entry? La3Tl5S12

***

Repeat the third record exactly.
NdBeC | PBE | optimized geometry

Cell: 3.345 5.365 10.306 Å, 90.00 90.00 90.00°
Element x y z (fractional)
Nd  0.750  0.395  0.857
Be  0.750  0.580  0.435
Be  0.250  0.920  0.935
C  0.250  0.218  0.023
Nd  0.250  0.605  0.143
C  0.250  0.718  0.477
C  0.750  0.282  0.523
Nd  0.750  0.895  0.643
Nd  0.250  0.105  0.357
C  0.750  0.782  0.977
Be  0.250  0.420  0.565
Be  0.750  0.080  0.065

Properties
Excess energy over the best structure of this formula in the dataset in eV/f.u.: 0.229
Theoretical density in Mg/m³: 5.9